1.
Entry from Alexandria via LeMat-Bulk: a relaxed structure of Nb2FeIr (PBE).

Cell: 4.025 4.025 3.839 Å, 90.00 90.00 90.00°
Space group P4/mmm (No. 123)
Asymmetric unit:
Nb (0.000, 0.500, 0.000) x2
Fe (0.000, 0.000, 0.500) x1
Ir (0.500, 0.500, 0.500) x1

Summary:
raw total energy = -38.26 eV per cell
DOS at the Fermi energy = 4.26 states/eV/f.u.
formation energy = -19.3 kJ per mole of atoms

---

2.
Entry from Alexandria via LeMat-Bulk: a relaxed structure of AlTcIr2 (PBE).

Cell: 2.835 4.476 4.586 Å, 90.00 90.00 90.00°
Space group Pmmm (No. 47)
Asymmetric unit:
Al (0.000, 0.000, 0.000) x1
Tc (0.500, 0.000, 0.500) x1
Ir (0.000, 0.500, 0.500) x1
Ir (0.500, 0.500, 0.000) x1

Summary:
raw total energy = -32.43 eV per cell
DOS at the Fermi energy = 4.20 states/eV/f.u.
formation energy = -14.5 kJ per mole of atoms